# PBE Pr2Mg15Sc2, optimized geometry
data_Pr2Mg15Sc2
_symmetry_space_group_name_H-M 'R -3 m'
_symmetry_Int_Tables_number 166
_symmetry_space_group_name_Hall '-R 3 2"'
_cell_length_a 10.3912
_cell_length_b 10.3912
_cell_length_c 15.2405
_cell_angle_alpha 90.00
_cell_angle_beta 90.00
_cell_angle_gamma 120.00
loop_
_atom_site_label
_atom_site_type_symbol
_atom_site_fract_x
_atom_site_fract_y
_atom_site_fract_z
Pr1 Pr 0.0000 0.0000 0.1706
Mg1 Mg 0.0000 0.2924 0.5000
Mg2 Mg 0.0000 0.5000 0.0000
Mg3 Mg 0.0054 0.5027 0.6470
Sc1 Sc 0.0000 0.0000 0.4011
# Fermi-level density of states = 44.455 states/eV per cell
# M_tot = 2.734 μB/cell
# Energy relative to the elements = -0.022 eV per atom